The following is a DFT calculation (GGA-PBE) of crystalline K2FeNi at its relaxed geometry.

Cell lengths 6.579, 6.579, 6.579 Å; angles 147.44, 128.03, 62.69 degrees
Fractional positions:
Fe 0.325 0.825 0.500
K 0.019 0.019 0.000
K 0.718 0.218 0.500
Ni 0.438 0.438 0.000

Values from the calculation:
- energy relative to the elements (meV/atom) = 750
- energy above the most stable polymorph in this dataset (meV/atom) = 178
- M_tot (μB per cell) = 3.7